A relaxed structure of MnCF3. Source: Alexandria via LeMat-Bulk, functional GGA+U.

The structure belongs to space group Pm-3m (No. 221); the cell edges are 3.9458, 3.9458 and 3.9458 Å and the angles 90.00°, 90.00° and 90.00°. The inequivalent atoms are Mn at (0.0000, 0.0000, 0.0000), C at (0.5000, 0.5000, 0.5000) and F at (0.0000, 0.5000, 0.5000).

The value obtained for the polymorph energy (0 for the lowest one) is 300.2 meV per atom. The value obtained for the electronic total energy is -22.988 eV/f.u.

=====

A relaxed structure of MnCF3. Source: Alexandria via LeMat-Bulk, functional GGA+U.

The structure belongs to space group Pm-3m (No. 221); the cell edges are 4.0460, 4.0460 and 4.0460 Å and the angles 90.00°, 90.00° and 90.00°. The inequivalent atoms are Mn at (0.0000, 0.0000, 0.0000), C at (0.5000, 0.5000, 0.5000) and F at (0.0000, 0.0000, 0.5000).

The value obtained for the polymorph energy (0 for the lowest one) is 0.0 meV per atom. The value obtained for the electronic total energy is -24.489 eV/f.u.

=====

A relaxed structure of MnC3F. Source: Alexandria via LeMat-Bulk, functional GGA+U.

The structure belongs to space group Pm-3m (No. 221); the cell edges are 3.6928, 3.6928 and 3.6928 Å and the angles 90.00°, 90.00° and 90.00°. The inequivalent atoms are Mn at (0.0000, 0.0000, 0.0000), C at (0.0000, 0.0000, 0.5000) and F at (0.5000, 0.5000, 0.5000).

The value obtained for the polymorph energy (0 for the lowest one) is 0.0 meV per atom. The value obtained for the electronic total energy is -26.817 eV/f.u.

=====

A relaxed structure of MnC3F. Source: Alexandria via LeMat-Bulk, functional GGA+U.

The structure belongs to space group Pm-3m (No. 221); the cell edges are 3.7662, 3.7662 and 3.7662 Å and the angles 90.00°, 90.00° and 90.00°. The inequivalent atoms are Mn at (0.0000, 0.0000, 0.0000), C at (0.0000, 0.5000, 0.5000) and F at (0.5000, 0.5000, 0.5000).

The value obtained for the polymorph energy (0 for the lowest one) is 844.5 meV per atom. The value obtained for the electronic total energy is -22.595 eV/f.u.

=====

A relaxed structure of MnCN2F. Source: Alexandria via LeMat-Bulk, functional GGA+U.

The structure belongs to space group P4/mmm (No. 123); the cell edges are 3.8750, 3.8750 and 3.7876 Å and the angles 90.00°, 90.00° and 90.00°. The inequivalent atoms are Mn at (0.0000, 0.0000, 0.0000), C at (0.5000, 0.5000, 0.5000), N at (0.0000, 0.5000, 0.0000) and F at (0.0000, 0.0000, 0.5000).

The value obtained for the electronic total energy is -26.567 eV/f.u.

=====

A relaxed structure of MnCN2F. Source: Alexandria via LeMat-Bulk, functional GGA+U.

The structure belongs to space group P4/mmm (No. 123); the cell edges are 3.1296, 3.1296 and 4.7876 Å and the angles 90.00°, 90.00° and 90.00°. The inequivalent atoms are Mn at (0.0000, 0.0000, 0.0000), C at (0.5000, 0.5000, 0.5000), N at (0.0000, 0.5000, 0.5000) and F at (0.5000, 0.5000, 0.0000).

The value obtained for the electronic total energy is -30.214 eV/f.u.

=====

A relaxed structure of NaMnC2F. Source: Alexandria via LeMat-Bulk, functional GGA+U.

The structure belongs to space group P4/mmm (No. 123); the cell edges are 3.6545, 3.6545 and 7.7693 Å and the angles 90.00°, 90.00° and 90.00°. The inequivalent atoms are Na at (0.0000, 0.0000, 0.0000), Mn at (0.0000, 0.0000, 0.5000), C at (0.0000, 0.5000, 0.5000) and F at (0.5000, 0.5000, 0.0000).

The value obtained for the electronic total energy is -25.455 eV/f.u.

=====

A relaxed structure of MnCOF2. Source: Alexandria via LeMat-Bulk, functional GGA+U.

The structure belongs to space group P4/mmm (No. 123); the cell edges are 3.9642, 3.9642 and 3.8453 Å and the angles 90.00°, 90.00° and 90.00°. The inequivalent atoms are Mn at (0.0000, 0.0000, 0.0000), C at (0.5000, 0.5000, 0.5000), O at (0.0000, 0.0000, 0.5000) and F at (0.0000, 0.5000, 0.0000).

The value obtained for the polymorph energy (0 for the lowest one) is 168.2 meV per atom. The value obtained for the electronic total energy is -25.328 eV/f.u.